This record from Alexandria via LeMat-Bulk describes a relaxed Sr2HRhPb crystal. The functional is PBE-GGA.

Lattice parameters (Å, degrees): 5.966 3.548 5.966 90.00 90.00 90.00
Positions (direct):
Pb 0.500 0.500 0.500
Sr 0.000 0.000 0.500
Sr 0.500 0.000 0.000
Rh 0.000 0.000 0.000
H 0.000 0.500 0.000

## Properties
Space-group type: P4/mmm
N(E_F) (states/eV per cell): 1.97
Density (kg/m³): 6396
E_tot (eV per atom): -3.738
Volume (Å³/atom): 25.25